## BaCeV2O8 (GGA+U)

Data for a relaxed structure of BaCeV2O8.

Cell lengths 5.8112, 5.8112, 7.6341 Å; angles 90.00, 90.00, 120.00 degrees
With the nearest neighbours (Å) after each atom.
Element x y z (fractional)
Ba1 0.0000 0.0000 0.0000  6 O 2.87
Ce1 0.0000 0.0000 0.5000  6 O 2.24
V1 0.3333 0.6667 0.7668  4 O 1.67-1.77
V2 0.6667 0.3333 0.2332  4 O 1.67-1.77
O1 0.1632 0.8299 0.6947  1 V 1.77
O2 0.1701 0.3334 0.6947  1 V 1.77
O3 0.3334 0.1632 0.3053  1 V 1.77
O4 0.3333 0.6667 0.9858  1 V 1.67
O5 0.6667 0.3333 0.0142  1 V 1.67
O6 0.6666 0.8368 0.6947  1 V 1.77
O7 0.8299 0.6666 0.3053  1 V 1.77
O8 0.8368 0.1701 0.3053  1 V 1.77

Output
Volume, Å³/cell: 223
Calculated density, g/cm3: 3.77
Final energy, eV per atom: -7.73